No. 1
The following is a GGA-PBEsol calculation of a geometry-optimized HoVO4 structure, from the Alexandria database.

```
data_HoVO4
_chemical_formula_sum 'Ho2 V2 O8'
_cell_length_a 6.556
_cell_length_b 6.556
_cell_length_c 6.556
_cell_angle_alpha 135.29
_cell_angle_beta 135.29
_cell_angle_gamma 65.08
_space_group_name_H-M_alt 'P 1'
_space_group_IT_number 1
loop_
_space_group_symop_operation_xyz
'x,y,z'
loop_
_atom_site_label
_atom_site_type_symbol
_atom_site_fract_x
_atom_site_fract_y
_atom_site_fract_z
Ho1 Ho 0.375 0.125 0.250
Ho2 Ho 0.625 0.875 0.750
V1 V 0.125 0.375 0.750
V2 V 0.875 0.625 0.250
O1 O 0.059 0.201 0.347
O2 O 0.212 0.559 0.358
O3 O 0.299 0.146 0.858
O4 O 0.354 0.712 0.153
O5 O 0.646 0.288 0.847
O6 O 0.701 0.854 0.142
O7 O 0.788 0.441 0.642
O8 O 0.941 0.799 0.653
```

## Properties
Formation energy (no corrections) (meV per atom): -3040.5
Crystal system: tetragonal
Space-group type: I4_1/a

=====

No. 2
The following is a GGA-PBEsol calculation of a geometry-optimized CaCu2AgRu structure, from the Alexandria database.

```
data_CaCu2AgRu
_chemical_formula_sum 'Ca1 Cu2 Ag1 Ru1'
_cell_length_a 4.599
_cell_length_b 4.599
_cell_length_c 5.056
_cell_angle_alpha 90.00
_cell_angle_beta 90.00
_cell_angle_gamma 90.00
_space_group_name_H-M_alt 'P 1'
_space_group_IT_number 1
loop_
_space_group_symop_operation_xyz
'x,y,z'
loop_
_atom_site_label
_atom_site_type_symbol
_atom_site_fract_x
_atom_site_fract_y
_atom_site_fract_z
Ca1 Ca 0.000 0.000 0.000
Cu1 Cu 0.000 0.500 0.500
Cu2 Cu 0.500 0.000 0.500
Ag1 Ag 0.000 0.000 0.500
Ru1 Ru 0.500 0.500 0.000
```

## Properties
Crystal system: tetragonal
Space-group type: P4/mmm
Formation enthalpy at 0 K (eV/atom): 1.338

=====

No. 3
The following is a GGA-PBEsol calculation of a geometry-optimized ZrTl2ZnHg structure, from the Alexandria database.

```
data_ZrTl2ZnHg
_chemical_formula_sum 'Zr1 Tl2 Zn1 Hg1'
_cell_length_a 5.069
_cell_length_b 5.069
_cell_length_c 4.820
_cell_angle_alpha 90.00
_cell_angle_beta 90.00
_cell_angle_gamma 90.00
_space_group_name_H-M_alt 'P 1'
_space_group_IT_number 1
loop_
_space_group_symop_operation_xyz
'x,y,z'
loop_
_atom_site_label
_atom_site_type_symbol
_atom_site_fract_x
_atom_site_fract_y
_atom_site_fract_z
Zr1 Zr 0.000 0.000 0.000
Tl1 Tl 0.000 0.500 0.500
Tl2 Tl 0.500 0.000 0.500
Zn1 Zn 0.500 0.500 0.500
Hg1 Hg 0.500 0.500 0.000
```

## Properties
Crystal system: tetragonal
Space-group type: P4/mmm
Formation enthalpy at 0 K (eV/atom): 0.578